Entry 1:
VCrRh: optimized geometry, PBE-GGA. Values from VASP.

The structure in Quantum ESPRESSO input format:
```
&SYSTEM
  ibrav = 0, nat = 3, ntyp = 3
/
ATOMIC_SPECIES
V 50.94 V.upf
Cr 52.00 Cr.upf
Rh 102.91 Rh.upf
CELL_PARAMETERS angstrom
4.152 0.000 0.000
-2.076 3.596 0.000
0.000 0.000 2.631
ATOMIC_POSITIONS crystal
V 0.000 0.000 0.000
Cr 0.667 0.333 0.218
Rh 0.333 0.667 0.620
```

ΔE to the lowest computed polymorph = 0.59 eV/f.u.



Entry 2:
VCr5Rh6: optimized geometry, PBE-GGA. Values from VASP.

The structure in Quantum ESPRESSO input format:
```
&SYSTEM
  ibrav = 0, nat = 12, ntyp = 3
/
ATOMIC_SPECIES
V 50.94 V.upf
Cr 52.00 Cr.upf
Rh 102.91 Rh.upf
CELL_PARAMETERS angstrom
-1.909 3.666 5.763
1.909 -3.666 5.763
1.909 3.666 -5.763
ATOMIC_POSITIONS crystal
V 0.000 0.000 0.000
Cr 0.180 0.680 0.500
Cr 0.337 0.337 0.000
Cr 0.500 0.000 0.500
Cr 0.663 0.663 0.000
Cr 0.820 0.320 0.500
Rh 0.077 0.833 0.244
Rh 0.237 0.500 0.737
Rh 0.411 0.167 0.244
Rh 0.589 0.833 0.756
Rh 0.763 0.500 0.263
Rh 0.923 0.167 0.756
```

Calculated total energy = -102.8 eV for the cell shown



Entry 3:
VCr2Rh: optimized geometry, PBE-GGA. Values from VASP.

The structure in Quantum ESPRESSO input format:
```
&SYSTEM
  ibrav = 0, nat = 4, ntyp = 3
/
ATOMIC_SPECIES
V 50.94 V.upf
Cr 52.00 Cr.upf
Rh 102.91 Rh.upf
CELL_PARAMETERS angstrom
2.918 0.000 0.000
0.000 2.918 0.000
0.000 0.000 6.039
ATOMIC_POSITIONS crystal
V 0.000 0.000 0.000
Cr 0.500 0.500 0.231
Cr 0.500 0.500 0.769
Rh 0.000 0.000 0.500
```

ΔE to the lowest computed polymorph = 0.00 eV/f.u.



Entry 4:
VCr4Rh: optimized geometry, PBE-GGA. Values from VASP.

The structure in Quantum ESPRESSO input format:
```
&SYSTEM
  ibrav = 0, nat = 6, ntyp = 3
/
ATOMIC_SPECIES
V 50.94 V.upf
Cr 52.00 Cr.upf
Rh 102.91 Rh.upf
CELL_PARAMETERS angstrom
0.000 3.351 3.351
3.351 0.000 3.351
3.351 3.351 0.000
ATOMIC_POSITIONS crystal
V 0.000 0.000 0.000
Cr 0.118 0.627 0.627
Cr 0.627 0.118 0.627
Cr 0.627 0.627 0.118
Cr 0.627 0.627 0.627
Rh 0.250 0.250 0.250
```

Calculated total energy = -54.7 eV for the cell shown



Entry 5:
V2CrRh7: optimized geometry, PBE-GGA. Values from VASP.

The structure in Quantum ESPRESSO input format:
```
&SYSTEM
  ibrav = 0, nat = 10, ntyp = 3
/
ATOMIC_SPECIES
V 50.94 V.upf
Cr 52.00 Cr.upf
Rh 102.91 Rh.upf
CELL_PARAMETERS angstrom
3.991 -7.267 0.000
3.991 7.267 0.000
0.000 0.000 2.720
ATOMIC_POSITIONS crystal
V 0.168 0.832 0.000
V 0.832 0.168 0.000
Cr 0.500 0.500 0.500
Rh 0.000 0.000 0.000
Rh 0.178 0.375 0.000
Rh 0.307 0.693 0.500
Rh 0.375 0.178 0.000
Rh 0.625 0.822 0.000
Rh 0.693 0.307 0.500
Rh 0.822 0.625 0.000
```

Calculated total energy = -76.4 eV for the cell shown



Entry 6:
V2CrRh: optimized geometry, PBE-GGA. Values from VASP.

The structure in Quantum ESPRESSO input format:
```
&SYSTEM
  ibrav = 0, nat = 4, ntyp = 3
/
ATOMIC_SPECIES
V 50.94 V.upf
Cr 52.00 Cr.upf
Rh 102.91 Rh.upf
CELL_PARAMETERS angstrom
4.170 0.000 0.000
0.000 4.170 0.000
0.000 0.000 3.024
ATOMIC_POSITIONS crystal
V 0.000 0.500 0.000
V 0.500 0.000 0.000
Cr 0.000 0.000 0.500
Rh 0.500 0.500 0.500
```

Calculated total energy = -35.9 eV for the cell shown



Entry 7:
VCr2Rh5: optimized geometry, PBE-GGA. Values from VASP.

The structure in Quantum ESPRESSO input format:
```
&SYSTEM
  ibrav = 0, nat = 16, ntyp = 3
/
ATOMIC_SPECIES
V 50.94 V.upf
Cr 52.00 Cr.upf
Rh 102.91 Rh.upf
CELL_PARAMETERS angstrom
5.403 0.000 0.000
0.000 5.403 0.000
0.000 0.000 7.477
ATOMIC_POSITIONS crystal
V 0.000 0.000 0.000
V 0.500 0.500 0.500
Cr 0.000 0.500 0.000
Cr 0.000 0.500 0.500
Cr 0.500 0.000 0.000
Cr 0.500 0.000 0.500
Rh 0.000 0.000 0.500
Rh 0.250 0.250 0.250
Rh 0.250 0.250 0.750
Rh 0.250 0.750 0.250
Rh 0.250 0.750 0.750
Rh 0.500 0.500 0.000
Rh 0.750 0.250 0.250
Rh 0.750 0.250 0.750
Rh 0.750 0.750 0.250
Rh 0.750 0.750 0.750
```

Calculated total energy = -133.1 eV for the cell shown



Entry 8:
V3Cr2Rh: optimized geometry, PBE-GGA. Values from VASP.

The structure in Quantum ESPRESSO input format:
```
&SYSTEM
  ibrav = 0, nat = 6, ntyp = 3
/
ATOMIC_SPECIES
V 50.94 V.upf
Cr 52.00 Cr.upf
Rh 102.91 Rh.upf
CELL_PARAMETERS angstrom
2.938 0.000 0.000
0.000 2.938 0.000
0.000 0.000 8.920
ATOMIC_POSITIONS crystal
V 0.000 0.000 0.000
V 0.000 0.000 0.315
V 0.000 0.000 0.685
Cr 0.500 0.500 0.165
Cr 0.500 0.500 0.835
Rh 0.500 0.500 0.500
```

Calculated total energy = -55.2 eV for the cell shown



Entry 9:
VCr2Rh6: optimized geometry, PBE-GGA. Values from VASP.

The structure in Quantum ESPRESSO input format:
```
&SYSTEM
  ibrav = 0, nat = 9, ntyp = 3
/
ATOMIC_SPECIES
V 50.94 V.upf
Cr 52.00 Cr.upf
Rh 102.91 Rh.upf
CELL_PARAMETERS angstrom
4.188 -1.923 0.000
4.188 1.923 0.000
-2.207 0.000 7.685
ATOMIC_POSITIONS crystal
V 0.000 0.000 0.000
Cr 0.319 0.319 0.767
Cr 0.681 0.681 0.233
Rh 0.005 0.005 0.319
Rh 0.335 0.335 0.445
Rh 0.340 0.340 0.102
Rh 0.660 0.660 0.898
Rh 0.665 0.665 0.555
Rh 0.995 0.995 0.681
```

Calculated total energy = -73.8 eV for the cell shown



Entry 10:
VCrRh3: optimized geometry, PBE-GGA. Values from VASP.

The structure in Quantum ESPRESSO input format:
```
&SYSTEM
  ibrav = 0, nat = 5, ntyp = 3
/
ATOMIC_SPECIES
V 50.94 V.upf
Cr 52.00 Cr.upf
Rh 102.91 Rh.upf
CELL_PARAMETERS angstrom
4.429 0.000 0.000
0.000 4.429 0.000
0.000 0.000 4.429
ATOMIC_POSITIONS crystal
V 0.000 0.000 0.000
Cr 0.500 0.500 0.500
Rh 0.000 0.500 0.500
Rh 0.500 0.000 0.500
Rh 0.500 0.500 0.000
```

ΔE to the lowest computed polymorph = 5.48 eV/f.u.



Entry 11:
VCr2Rh: optimized geometry, PBE-GGA. Values from VASP.

The structure in Quantum ESPRESSO input format:
```
&SYSTEM
  ibrav = 0, nat = 16, ntyp = 3
/
ATOMIC_SPECIES
V 50.94 V.upf
Cr 52.00 Cr.upf
Rh 102.91 Rh.upf
CELL_PARAMETERS angstrom
3.436 0.000 0.000
0.000 3.436 0.000
0.000 0.000 18.696
ATOMIC_POSITIONS crystal
V 0.000 0.000 0.000
V 0.000 0.500 0.250
V 0.500 0.000 0.750
V 0.500 0.500 0.500
Cr 0.213 0.250 0.125
Cr 0.250 0.713 0.375
Cr 0.250 0.787 0.875
Cr 0.287 0.250 0.625
Cr 0.713 0.750 0.625
Cr 0.750 0.213 0.875
Cr 0.750 0.287 0.375
Cr 0.787 0.750 0.125
Rh 0.000 0.000 0.500
Rh 0.000 0.500 0.750
Rh 0.500 0.000 0.250
Rh 0.500 0.500 0.000
```

ΔE to the lowest computed polymorph = 1.95 eV/f.u.



Entry 12:
V3CrRh: optimized geometry, PBE-GGA. Values from VASP.

The structure in Quantum ESPRESSO input format:
```
&SYSTEM
  ibrav = 0, nat = 20, ntyp = 3
/
ATOMIC_SPECIES
V 50.94 V.upf
Cr 52.00 Cr.upf
Rh 102.91 Rh.upf
CELL_PARAMETERS angstrom
7.105 0.000 0.000
0.000 4.761 0.000
-1.350 0.000 7.940
ATOMIC_POSITIONS crystal
V 0.035 0.230 0.079
V 0.035 0.270 0.579
V 0.238 0.125 0.366
V 0.238 0.375 0.866
V 0.350 0.614 0.530
V 0.350 0.886 0.030
V 0.650 0.114 0.970
V 0.650 0.386 0.470
V 0.762 0.625 0.134
V 0.762 0.875 0.634
V 0.965 0.730 0.421
V 0.965 0.770 0.921
Cr 0.152 0.687 0.207
Cr 0.152 0.813 0.707
Cr 0.848 0.187 0.293
Cr 0.848 0.313 0.793
Rh 0.440 0.123 0.670
Rh 0.440 0.377 0.170
Rh 0.560 0.623 0.830
Rh 0.560 0.877 0.330
```

ΔE to the lowest computed polymorph = 0.75 eV/f.u.



Entry 13:
CrRhW4: optimized geometry, PBE-GGA. Values from VASP.

The structure in Quantum ESPRESSO input format:
```
&SYSTEM
  ibrav = 0, nat = 6, ntyp = 3
/
ATOMIC_SPECIES
Cr 52.00 Cr.upf
Rh 102.91 Rh.upf
W 183.84 W.upf
CELL_PARAMETERS angstrom
0.000 3.683 3.683
3.683 0.000 3.683
3.683 3.683 0.000
ATOMIC_POSITIONS crystal
Cr 0.000 0.000 0.000
Rh 0.250 0.250 0.250
W 0.123 0.626 0.626
W 0.626 0.123 0.626
W 0.626 0.626 0.123
W 0.626 0.626 0.626
```

Calculated total energy = -65.6 eV for the cell shown



Entry 14:
CrRh2W: optimized geometry, PBE-GGA. Values from VASP.

The structure in Quantum ESPRESSO input format:
```
&SYSTEM
  ibrav = 0, nat = 16, ntyp = 3
/
ATOMIC_SPECIES
Cr 52.00 Cr.upf
Rh 102.91 Rh.upf
W 183.84 W.upf
CELL_PARAMETERS angstrom
6.194 0.000 0.000
0.000 6.194 0.000
0.000 0.000 6.194
ATOMIC_POSITIONS crystal
Cr 0.000 0.000 0.000
Cr 0.000 0.500 0.500
Cr 0.500 0.000 0.500
Cr 0.500 0.500 0.000
Rh 0.250 0.250 0.250
Rh 0.250 0.250 0.750
Rh 0.250 0.750 0.250
Rh 0.250 0.750 0.750
Rh 0.750 0.250 0.250
Rh 0.750 0.250 0.750
Rh 0.750 0.750 0.250
Rh 0.750 0.750 0.750
W 0.000 0.000 0.500
W 0.000 0.500 0.000
W 0.500 0.000 0.000
W 0.500 0.500 0.500
```

ΔE to the lowest computed polymorph = 1.03 eV/f.u.



Entry 15:
CrRh2W: optimized geometry, PBE-GGA. Values from VASP.

The structure in Quantum ESPRESSO input format:
```
&SYSTEM
  ibrav = 0, nat = 8, ntyp = 3
/
ATOMIC_SPECIES
Cr 52.00 Cr.upf
Rh 102.91 Rh.upf
W 183.84 W.upf
CELL_PARAMETERS angstrom
5.402 0.000 0.000
0.000 7.664 0.000
0.000 0.000 2.721
ATOMIC_POSITIONS crystal
Cr 0.000 0.000 0.000
Cr 0.500 0.500 0.000
Rh 0.250 0.250 0.500
Rh 0.250 0.750 0.500
Rh 0.750 0.250 0.500
Rh 0.750 0.750 0.500
W 0.000 0.500 0.000
W 0.500 0.000 0.000
```

ΔE to the lowest computed polymorph = 0.14 eV/f.u.



Entry 16:
CrRhW3: optimized geometry, PBE-GGA. Values from VASP.

The structure in Quantum ESPRESSO input format:
```
&SYSTEM
  ibrav = 0, nat = 5, ntyp = 3
/
ATOMIC_SPECIES
Cr 52.00 Cr.upf
Rh 102.91 Rh.upf
W 183.84 W.upf
CELL_PARAMETERS angstrom
4.439 0.000 0.000
0.000 4.439 0.000
0.000 0.000 4.439
ATOMIC_POSITIONS crystal
Cr 0.000 0.000 0.000
Rh 0.500 0.500 0.500
W 0.000 0.000 0.500
W 0.000 0.500 0.000
W 0.500 0.000 0.000
```

ΔE to the lowest computed polymorph = 0.00 eV/f.u.



Entry 17:
CrRh2W: optimized geometry, PBE-GGA. Values from VASP.

The structure in Quantum ESPRESSO input format:
```
&SYSTEM
  ibrav = 0, nat = 8, ntyp = 3
/
ATOMIC_SPECIES
Cr 52.00 Cr.upf
Rh 102.91 Rh.upf
W 183.84 W.upf
CELL_PARAMETERS angstrom
8.916 0.000 0.000
0.000 2.730 0.000
-0.942 0.000 4.650
ATOMIC_POSITIONS crystal
Cr 0.000 0.000 0.000
Cr 0.500 0.500 0.000
Rh 0.257 0.000 0.808
Rh 0.499 0.000 0.520
Rh 0.757 0.500 0.808
Rh 0.999 0.500 0.520
W 0.244 0.500 0.292
W 0.744 0.000 0.292
```

ΔE to the lowest computed polymorph = 0.34 eV/f.u.



Entry 18:
Cr2Rh2W: optimized geometry, PBE-GGA. Values from VASP.

The structure in Quantum ESPRESSO input format:
```
&SYSTEM
  ibrav = 0, nat = 10, ntyp = 3
/
ATOMIC_SPECIES
Cr 52.00 Cr.upf
Rh 102.91 Rh.upf
W 183.84 W.upf
CELL_PARAMETERS angstrom
7.161 0.000 0.000
0.000 7.161 0.000
0.000 0.000 2.684
ATOMIC_POSITIONS crystal
Cr 0.116 0.384 0.000
Cr 0.384 0.884 0.000
Cr 0.616 0.116 0.000
Cr 0.884 0.616 0.000
Rh 0.177 0.677 0.500
Rh 0.323 0.177 0.500
Rh 0.677 0.823 0.500
Rh 0.823 0.323 0.500
W 0.000 0.000 0.000
W 0.500 0.500 0.000
```

ΔE to the lowest computed polymorph = 0.00 eV/f.u.



Entry 19:
Cr2Rh6W: optimized geometry, PBE-GGA. Values from VASP.

The structure in Quantum ESPRESSO input format:
```
&SYSTEM
  ibrav = 0, nat = 9, ntyp = 3
/
ATOMIC_SPECIES
Cr 52.00 Cr.upf
Rh 102.91 Rh.upf
W 183.84 W.upf
CELL_PARAMETERS angstrom
-1.342 3.562 6.731
1.342 -3.562 6.731
1.342 3.562 -6.731
ATOMIC_POSITIONS crystal
Cr 0.141 0.141 0.000
Cr 0.859 0.859 0.000
Rh 0.138 0.325 0.813
Rh 0.176 0.500 0.676
Rh 0.488 0.675 0.813
Rh 0.512 0.325 0.187
Rh 0.824 0.500 0.324
Rh 0.862 0.675 0.187
W 0.500 0.000 0.500
```

Calculated total energy = -75.3 eV for the cell shown



Entry 20:
CrRh2W: optimized geometry, PBE-GGA. Values from VASP.

The structure in Quantum ESPRESSO input format:
```
&SYSTEM
  ibrav = 0, nat = 16, ntyp = 3
/
ATOMIC_SPECIES
Cr 52.00 Cr.upf
Rh 102.91 Rh.upf
W 183.84 W.upf
CELL_PARAMETERS angstrom
3.757 0.000 0.000
0.000 3.757 0.000
0.000 0.000 17.499
ATOMIC_POSITIONS crystal
Cr 0.000 0.000 0.000
Cr 0.000 0.500 0.250
Cr 0.500 0.000 0.750
Cr 0.500 0.500 0.500
Rh 0.239 0.250 0.125
Rh 0.250 0.739 0.375
Rh 0.250 0.761 0.875
Rh 0.261 0.250 0.625
Rh 0.739 0.750 0.625
Rh 0.750 0.239 0.875
Rh 0.750 0.261 0.375
Rh 0.761 0.750 0.125
W 0.000 0.000 0.500
W 0.000 0.500 0.750
W 0.500 0.000 0.250
W 0.500 0.500 0.000
```

ΔE to the lowest computed polymorph = 2.50 eV/f.u.



Entry 21:
Cr2Rh2W: optimized geometry, PBE-GGA. Values from VASP.

The structure in Quantum ESPRESSO input format:
```
&SYSTEM
  ibrav = 0, nat = 10, ntyp = 3
/
ATOMIC_SPECIES
Cr 52.00 Cr.upf
Rh 102.91 Rh.upf
W 183.84 W.upf
CELL_PARAMETERS angstrom
7.230 0.000 0.000
0.000 7.230 0.000
0.000 0.000 2.659
ATOMIC_POSITIONS crystal
Cr 0.170 0.330 0.000
Cr 0.330 0.830 0.000
Cr 0.670 0.170 0.000
Cr 0.830 0.670 0.000
Rh 0.128 0.628 0.500
Rh 0.372 0.128 0.500
Rh 0.628 0.872 0.500
Rh 0.872 0.372 0.500
W 0.000 0.000 0.500
W 0.500 0.500 0.500
```

ΔE to the lowest computed polymorph = 0.22 eV/f.u.



Entry 22:
CrRh2W: optimized geometry, PBE-GGA. Values from VASP.

The structure in Quantum ESPRESSO input format:
```
&SYSTEM
  ibrav = 0, nat = 4, ntyp = 3
/
ATOMIC_SPECIES
Cr 52.00 Cr.upf
Rh 102.91 Rh.upf
W 183.84 W.upf
CELL_PARAMETERS angstrom
2.730 0.000 0.000
0.000 4.342 0.000
0.000 0.000 4.752
ATOMIC_POSITIONS crystal
Cr 0.000 0.000 0.000
Rh 0.500 0.000 0.502
Rh 0.500 0.500 0.855
W 0.000 0.500 0.337
```

ΔE to the lowest computed polymorph = 0.09 eV/f.u.



Entry 23:
CrRh2W: optimized geometry, PBE-GGA. Values from VASP.

The structure in Quantum ESPRESSO input format:
```
&SYSTEM
  ibrav = 0, nat = 8, ntyp = 3
/
ATOMIC_SPECIES
Cr 52.00 Cr.upf
Rh 102.91 Rh.upf
W 183.84 W.upf
CELL_PARAMETERS angstrom
9.029 0.000 0.000
0.000 2.724 0.000
-0.836 0.000 4.586
ATOMIC_POSITIONS crystal
Cr 0.000 0.000 0.000
Cr 0.500 0.500 0.000
Rh 0.246 0.500 0.244
Rh 0.254 0.000 0.756
Rh 0.746 0.000 0.244
Rh 0.754 0.500 0.756
W 0.000 0.500 0.500
W 0.500 0.000 0.500
```

ΔE to the lowest computed polymorph = 0.54 eV/f.u.



Entry 24:
CrRh2W: optimized geometry, PBE-GGA. Values from VASP.

The structure in Quantum ESPRESSO input format:
```
&SYSTEM
  ibrav = 0, nat = 4, ntyp = 3
/
ATOMIC_SPECIES
Cr 52.00 Cr.upf
Rh 102.91 Rh.upf
W 183.84 W.upf
CELL_PARAMETERS angstrom
2.709 0.000 0.000
0.000 2.709 0.000
0.000 0.000 7.636
ATOMIC_POSITIONS crystal
Cr 0.000 0.000 0.000
Rh 0.500 0.500 0.236
Rh 0.500 0.500 0.764
W 0.000 0.000 0.500
```

ΔE to the lowest computed polymorph = 0.14 eV/f.u.



Entry 25:
CrRh2W: optimized geometry, PBE-GGA. Values from VASP.

The structure in Quantum ESPRESSO input format:
```
&SYSTEM
  ibrav = 0, nat = 4, ntyp = 3
/
ATOMIC_SPECIES
Cr 52.00 Cr.upf
Rh 102.91 Rh.upf
W 183.84 W.upf
CELL_PARAMETERS angstrom
2.718 0.000 0.000
0.000 2.718 0.000
0.000 0.000 7.660
ATOMIC_POSITIONS crystal
Cr 0.000 0.000 0.000
Rh 0.000 0.000 0.491
Rh 0.500 0.500 0.218
W 0.500 0.500 0.741
```

ΔE to the lowest computed polymorph = 0.38 eV/f.u.



Entry 26:
Cr4RhW: optimized geometry, PBE-GGA. Values from VASP.

The structure in Quantum ESPRESSO input format:
```
&SYSTEM
  ibrav = 0, nat = 6, ntyp = 3
/
ATOMIC_SPECIES
Cr 52.00 Cr.upf
Rh 102.91 Rh.upf
W 183.84 W.upf
CELL_PARAMETERS angstrom
0.000 3.373 3.373
3.373 0.000 3.373
3.373 3.373 0.000
ATOMIC_POSITIONS crystal
Cr 0.124 0.124 0.124
Cr 0.124 0.124 0.629
Cr 0.124 0.629 0.124
Cr 0.629 0.124 0.124
Rh 0.500 0.500 0.500
W 0.750 0.750 0.750
```

Calculated total energy = -58.6 eV for the cell shown